1.
Here is a relaxed CdSb2AsI crystal from Alexandria via LeMat-Bulk. Energies are from PBE-GGA.

Cell lengths 5.6005, 5.6005, 5.6381 Å; angles 90.00, 90.00, 90.00 degrees
Space group P4/mmm (No. 123)
One atom of each set of equivalent atoms:
Cd  0.0000  0.0000  0.0000 [1 per cell]
Sb  0.0000  0.5000  0.0000 [2 per cell]
As  0.5000  0.5000  0.5000 [1 per cell]
I  0.0000  0.0000  0.5000 [1 per cell]

Output
- total magnetic moment (Bohr magnetons per cell) = 0.42
- N(E_F) (states/eV per atom) = 0.965
- ΔE_f (raw) (eV/atom) = 0.890

---

2.
Here is a relaxed NiWI2N crystal from Alexandria via LeMat-Bulk. Energies are from PBE-GGA.

Cell lengths 5.4364, 5.4364, 3.4134 Å; angles 90.00, 90.00, 90.00 degrees
Space group P4/mmm (No. 123)
One atom of each set of equivalent atoms:
Ni  0.0000  0.0000  0.0000 [1 per cell]
W  0.5000  0.5000  0.5000 [1 per cell]
I  0.0000  0.5000  0.0000 [2 per cell]
N  0.0000  0.0000  0.5000 [1 per cell]

Output
- total magnetic moment (Bohr magnetons per cell) = 2.36
- N(E_F) (states/eV per atom) = 1.220
- ΔE_f (raw) (eV/atom) = 1.367

---

3.
Here is a relaxed BeGe3Br crystal from Alexandria via LeMat-Bulk. Energies are from PBE-GGA.

Cell lengths 4.6798, 4.6798, 4.6798 Å; angles 90.00, 90.00, 90.00 degrees
Space group Pm-3m (No. 221)
One atom of each set of equivalent atoms:
Be  0.0000  0.0000  0.0000 [1 per cell]
Ge  0.0000  0.0000  0.5000 [3 per cell]
Br  0.5000  0.5000  0.5000 [1 per cell]

Output
- total magnetic moment (Bohr magnetons per cell) = 0.00
- N(E_F) (states/eV per atom) = 1.297
- ΔE_f (raw) (eV/atom) = 0.483

---

4.
Here is a relaxed Tb3SmAl2 crystal from Alexandria via LeMat-Bulk. Energies are from PBE-GGA.

Cell lengths 4.8155, 14.8610, 4.4420 Å; angles 90.00, 90.00, 90.00 degrees
Space group Cmmm (No. 65)
One atom of each set of equivalent atoms:
Tb  0.0000  0.0000  0.0000 [2 per cell]
Tb  0.0000  0.3254  0.0000 [4 per cell]
Sm  0.0000  0.5000  0.5000 [2 per cell]
Al  0.0000  0.1606  0.5000 [4 per cell]

Output
- formation enthalpy at 0 K (meV/atom) = -183
- total magnetic moment (Bohr magnetons per cell) = 0.00
- N(E_F) (states/eV per atom) = 0.952

---

5.
Here is a relaxed LiHo2Pt4 crystal from Alexandria via LeMat-Bulk. Energies are from PBE-GGA.

Cell lengths 5.7756, 8.3478, 11.3750 Å; angles 90.00, 90.00, 90.00 degrees
Space group Fmmm (No. 69)
One atom of each set of equivalent atoms:
Li  0.0000  0.0000  0.0000 [4 per cell]
Ho  0.0000  0.0000  0.3556 [8 per cell]
Pt  0.2500  0.2500  0.0000 [8 per cell]
Pt  0.2500  0.2500  0.2500 [8 per cell]

Output
- formation enthalpy at 0 K (meV/atom) = -848
- total magnetic moment (Bohr magnetons per cell) = 0.00
- N(E_F) (states/eV per atom) = 0.379

---

6.
Here is a relaxed KHo2AuSe4 crystal from Alexandria via LeMat-Bulk. Energies are from PBE-GGA.

Cell lengths 4.1546, 14.0760, 14.6941 Å; angles 90.00, 90.00, 90.00 degrees
Space group Cmcm (No. 63)
One atom of each set of equivalent atoms:
K  0.0000  0.1268  0.2500 [4 per cell]
Ho  0.0000  0.3699  0.0706 [8 per cell]
Au  0.0000  0.1571  0.7500 [4 per cell]
Se  0.0000  0.0000  0.0000 [4 per cell]
Se  0.0000  0.2646  0.6029 [8 per cell]
Se  0.0000  0.4543  0.2500 [4 per cell]

Output
- total magnetic moment (Bohr magnetons per cell) = 0.00
- ΔE_f (raw) (eV/atom) = -1.428